GGA+U CeHfVO6, relaxed; total energy = -79.020 eV for the cell shown; space group = P312 (149); magnetization = 1.05 μB per formula unit
1.0
-3.4437 -1.8256 -3.0006
3.7451 -1.7795 -3.2154
-1.7791 -3.0383 3.8904
Ce Hf V O
1 1 1 6
Cartesian
0.0623 -2.6187 1.5218 Ce
0.1819 -3.1119 -2.3471 Hf
-1.7218 -0.9128 -1.5003 V
-1.0987 -4.6359 -1.7454 O
-1.3263 -1.9183 -3.1376 O
0.6707 -4.0009 -4.1623 O
-0.3124 -1.9924 -0.6659 O
1.6300 -1.7816 -3.0234 O
1.5279 -4.3425 -1.3481 O